# ZnSbSI2

An optimized crystal structure of ZnSbSI2 (GGA-PBEsol, Alexandria).

Summary:
Its symmetry is No. 123. Its uncorrected formation energy is 0.595 eV/atom. As for the total energy: -2.216 eV/atom.

a b c (Å): 5.194 5.194 5.441
angles (deg): 90.00 90.00 90.00
Each line ends with the local moment (μB).
Fractional positions:
S (0.500, 0.500, 0.500)  0.42
I (0.000, 0.500, 0.000)  0.05
I (0.500, 0.000, 0.000)  0.05
Zn (0.000, 0.000, 0.000)  0.00
Sb (0.000, 0.000, 0.500)  -0.06

# HfBe3Cl

An optimized crystal structure of HfBe3Cl (GGA-PBEsol, Alexandria).

Summary:
Its symmetry is No. 221. Its uncorrected formation energy is 1.847 eV/atom. As for the total energy: -3.055 eV/atom.

a b c (Å): 4.983 4.983 4.983
angles (deg): 90.00 90.00 90.00
Fractional positions:
Be (0.000, 0.500, 0.000)
Be (0.500, 0.000, 0.000)
Be (0.000, 0.000, 0.500)
Cl (0.500, 0.500, 0.500)
Hf (0.000, 0.000, 0.000)

# TlF

An optimized crystal structure of TlF (GGA-PBEsol, Alexandria).

Summary:
The offset from the most stable computed form is 8 kJ/mol of formula units. Its symmetry is No. 225. Its uncorrected formation energy is -1.635 eV/atom. As for the total energy: -3.914 eV/atom.

a b c (Å): 3.898 3.898 3.898
angles (deg): 60.00 60.00 60.00
Fractional positions:
F (0.500, 0.500, 0.500)
Tl (0.000, 0.000, 0.000)

# Ba3Au

An optimized crystal structure of Ba3Au (GGA-PBEsol, Alexandria).

Summary:
The energy of formation from the pure elements is -0.291 eV/atom. Its symmetry is No. 59. As for the total energy: -2.884 eV/atom.

a b c (Å): 4.310 7.886 10.932
angles (deg): 90.00 90.00 90.00
Fractional positions:
Ba (0.000, 0.744, 0.169)
Ba (0.500, 0.000, 0.471)
Ba (0.500, 0.756, 0.831)
Ba (0.500, 0.244, 0.831)
Ba (0.000, 0.500, 0.529)
Ba (0.000, 0.256, 0.169)
Au (0.000, 0.000, 0.689)
Au (0.500, 0.500, 0.311)

# Sr2LaCu

An optimized crystal structure of Sr2LaCu (GGA-PBEsol, Alexandria).

Summary:
The energy of formation from the pure elements is 0.356 eV/atom. Its symmetry is No. 47. As for the total energy: -2.984 eV/atom.

a b c (Å): 4.392 5.297 5.572
angles (deg): 90.00 90.00 90.00
Fractional positions:
La (0.000, 0.500, 0.500)
Sr (0.000, 0.000, 0.000)
Sr (0.500, 0.500, 0.000)
Cu (0.500, 0.000, 0.500)

# LaCrReH2

An optimized crystal structure of LaCrReH2 (GGA-PBEsol, Alexandria).

Summary:
Its symmetry is No. 123. As for the total energy: -6.550 eV/atom.

a b c (Å): 3.865 3.865 4.460
angles (deg): 90.00 90.00 90.00
Each line ends with the local moment (μB).
Fractional positions:
Cr (0.000, 0.000, 0.500)  1.16
H (0.500, 0.000, 0.000)  0.00
H (0.000, 0.500, 0.000)  0.00
Re (0.000, 0.000, 0.000)  -0.18
La (0.500, 0.500, 0.500)  0.06

# MoW3S8

An optimized crystal structure of MoW3S8 (GGA-PBEsol, Alexandria).

Summary:
Its symmetry is No. 156. Its uncorrected formation energy is -0.916 eV/atom. As for the total energy: -8.271 eV/atom.

a b c (Å): 3.143 3.143 25.010
angles (deg): 90.00 90.00 120.00
Fractional positions:
W (0.000, 0.000, 0.499)
W (0.667, 0.333, 0.249)
W (0.667, 0.333, 0.750)
Mo (0.000, 0.000, 0.999)
S (0.667, 0.333, 0.437)
S (0.000, 0.000, 0.687)
S (0.667, 0.333, 0.061)
S (0.000, 0.000, 0.186)
S (0.667, 0.333, 0.937)
S (0.000, 0.000, 0.813)
S (0.667, 0.333, 0.562)
S (0.000, 0.000, 0.311)

# Ta2ZnSiP

An optimized crystal structure of Ta2ZnSiP (GGA-PBEsol, Alexandria).

Summary:
Its symmetry is No. 123. Its uncorrected formation energy is 0.977 eV/atom. As for the total energy: -6.668 eV/atom.

a b c (Å): 4.127 4.710 4.710
angles (deg): 90.00 90.00 90.00
Fractional positions:
Zn (0.500, 0.000, 0.000)
Ta (0.000, 0.500, 0.000)
Ta (0.000, 0.000, 0.500)
Si (0.000, 0.000, 0.000)
P (0.500, 0.500, 0.500)